# HfNiHRu2

A relaxed structure of HfNiHRu2 (PBE-GGA, Alexandria).

Values from the calculation:
Relative energy among the computed polymorphs, meV/atom: 75

```
5
Lattice="3.8776 0.0000 0.0000 0.0000 3.8776 0.0000 0.0000 0.0000 4.0748" Properties=species:S:1:pos:R:3 pbc="T T T"
Hf 0.0000 0.0000 0.0000
Ni 1.9388 1.9388 0.0000
H 0.0000 0.0000 2.0374
Ru 0.0000 1.9388 2.0374
Ru 1.9388 0.0000 2.0374
```

=====

# HfNiHRu2

A relaxed structure of HfNiHRu2 (PBE-GGA, Alexandria).

Values from the calculation:
Relative energy among the computed polymorphs, meV/atom: 0

```
5
Lattice="3.9923 0.0000 0.0000 0.0000 3.9923 0.0000 0.0000 0.0000 3.7920" Properties=species:S:1:pos:R:3 pbc="T T T"
Hf 0.0000 0.0000 0.0000
Ni 1.9961 1.9961 0.0000
H 1.9961 1.9961 1.8960
Ru 0.0000 1.9961 1.8960
Ru 1.9961 0.0000 1.8960
```

=====

# Hf2NiSbH

A relaxed structure of Hf2NiSbH (PBE-GGA, Alexandria).

Values from the calculation:
Uncorrected energy, eV/atom: -6.946

```
5
Lattice="4.3087 0.0000 0.0000 0.0000 4.3087 0.0000 0.0000 0.0000 4.1006" Properties=species:S:1:pos:R:3 pbc="T T T"
Hf 0.0000 2.1544 0.0000
Hf 2.1544 0.0000 0.0000
Ni 0.0000 0.0000 2.0503
Sb 2.1544 2.1544 2.0503
H 0.0000 0.0000 0.0000
```

=====

# HfNi2SbH

A relaxed structure of HfNi2SbH (PBE-GGA, Alexandria).

Values from the calculation:
Relative energy among the computed polymorphs, meV/atom: 665

```
5
Lattice="4.7854 0.0000 0.0000 0.0000 4.7854 0.0000 0.0000 0.0000 3.5999" Properties=species:S:1:pos:R:3 pbc="T T T"
Hf 0.0000 0.0000 0.0000
Ni 0.0000 2.3927 0.0000
Ni 2.3927 0.0000 0.0000
Sb 2.3927 2.3927 1.8000
H 0.0000 0.0000 1.8000
```

=====

# HfNi2SbH

A relaxed structure of HfNi2SbH (PBE-GGA, Alexandria).

Values from the calculation:
Relative energy among the computed polymorphs, meV/atom: 0

```
5
Lattice="4.0107 0.0000 0.0000 0.0000 4.0107 0.0000 0.0000 0.0000 4.0972" Properties=species:S:1:pos:R:3 pbc="T T T"
Hf 0.0000 0.0000 0.0000
Ni 0.0000 2.0053 2.0486
Ni 2.0053 0.0000 2.0486
Sb 2.0053 2.0053 0.0000
H 0.0000 0.0000 2.0486
```

=====

# Hf2NiHSe

A relaxed structure of Hf2NiHSe (PBE-GGA, Alexandria).

Values from the calculation:
Uncorrected energy, eV/atom: -5.775

```
5
Lattice="4.8302 0.0000 0.0000 0.0000 4.8302 0.0000 0.0000 0.0000 4.3959" Properties=species:S:1:pos:R:3 pbc="T T T"
Hf 0.0000 2.4151 0.0000
Hf 2.4151 0.0000 0.0000
Ni 0.0000 0.0000 0.0000
H 2.4151 2.4151 2.1980
Se 0.0000 0.0000 2.1980
```

=====

# Hf2Si3Ni5H2

A relaxed structure of Hf2Si3Ni5H2 (PBE-GGA, Alexandria).

Values from the calculation:
Uncorrected energy, eV/atom: -6.533

```
12
Lattice="-1.8375 1.8375 10.0887 1.8375 -1.8375 10.0887 1.8375 1.8375 -10.0887" Properties=species:S:1:pos:R:3 pbc="T T T"
Hf 0.0000 0.0000 4.0214
Hf 0.0000 0.0000 16.1560
Si 0.0000 0.0000 6.7647
Si 0.0000 0.0000 10.0887
Si 0.0000 0.0000 13.4127
Ni 0.0000 0.0000 0.0000
Ni 1.8375 0.0000 1.7536
Ni 1.8375 0.0000 8.3350
Ni 0.0000 1.8375 1.7536
Ni 0.0000 1.8375 8.3350
H 0.0000 0.0000 1.7067
H 0.0000 0.0000 18.4706
```

=====

# Hf2NiSn2H

A relaxed structure of Hf2NiSn2H (PBE-GGA, Alexandria).

Values from the calculation:
Uncorrected energy, eV/atom: -6.513

```
12
Lattice="-3.2189 5.8952 2.8334 3.2189 -5.8952 2.8334 3.2189 5.8952 -2.8334" Properties=species:S:1:pos:R:3 pbc="T T T"
Hf 1.1846 0.9792 0.0000
Hf 1.1846 -0.9792 2.8334
Hf 2.0343 6.8744 0.0000
Hf 2.0343 4.9161 2.8334
Ni 3.2189 0.0000 1.4167
Ni 0.0000 5.8952 1.4167
Sn 4.4419 1.9364 0.0000
Sn 1.2230 3.9588 0.0000
Sn 1.9958 1.9364 2.8334
Sn -1.2230 3.9588 2.8334
H 0.0000 0.0000 1.4167
H 0.0000 0.0000 4.2501
```

=====

Please write out number 5 again, unchanged.
# HfNi2SbH

A relaxed structure of HfNi2SbH (PBE-GGA, Alexandria).

Values from the calculation:
Relative energy among the computed polymorphs, meV/atom: 0

```
5
Lattice="4.0107 0.0000 0.0000 0.0000 4.0107 0.0000 0.0000 0.0000 4.0972" Properties=species:S:1:pos:R:3 pbc="T T T"
Hf 0.0000 0.0000 0.0000
Ni 0.0000 2.0053 2.0486
Ni 2.0053 0.0000 2.0486
Sb 2.0053 2.0053 0.0000
H 0.0000 0.0000 2.0486
```

=====

Which formula does entry 6 have?
Hf2NiHSe